# GGA-PBE TmAlAg2O4, optimized geometry
data_TmAlAg2O4
_cell_length_a 3.1468
_cell_length_b 3.1468
_cell_length_c 12.5088
_cell_angle_alpha 90.00
_cell_angle_beta 90.00
_cell_angle_gamma 120.00
_symmetry_space_group_name_H-M 'P -3 m 1'
_symmetry_Int_Tables_number 164
_symmetry_space_group_name_Hall '-P 3 2"'
loop_
_atom_site_label
_atom_site_fract_x
_atom_site_fract_y
_atom_site_fract_z
_atom_site_occupancy
Tm1 0.0000 0.0000 0.0000 1
Al1 0.0000 0.0000 0.5000 1
Ag1 0.3333 0.6667 0.2609 1
O1 0.3333 0.6667 0.0941 1
O2 0.3333 0.6667 0.4292 1
# * final energy: -6.205 eV/atom


# GGA-PBE Al2AgOs, optimized geometry
data_Al2AgOs
_cell_length_a 6.2660
_cell_length_b 6.2660
_cell_length_c 6.2660
_cell_angle_alpha 90.00
_cell_angle_beta 90.00
_cell_angle_gamma 90.00
_symmetry_space_group_name_H-M 'F -4 3 m'
_symmetry_Int_Tables_number 216
_symmetry_space_group_name_Hall 'F -4 2 3'
loop_
_atom_site_label
_atom_site_fract_x
_atom_site_fract_y
_atom_site_fract_z
_atom_site_occupancy
Al1 0.0000 0.0000 0.0000 1
Al2 0.2500 0.2500 0.2500 1
Ag1 0.2500 0.2500 0.7500 1
Os1 0.0000 0.0000 0.5000 1
# * final energy: -5.161 eV/atom


# GGA-PBE PaAlAg, optimized geometry
data_PaAlAg
_cell_length_a 6.8291
_cell_length_b 6.8291
_cell_length_c 6.8291
_cell_angle_alpha 90.00
_cell_angle_beta 90.00
_cell_angle_gamma 90.00
_symmetry_space_group_name_H-M 'F -4 3 m'
_symmetry_Int_Tables_number 216
_symmetry_space_group_name_Hall 'F -4 2 3'
loop_
_atom_site_label
_atom_site_fract_x
_atom_site_fract_y
_atom_site_fract_z
_atom_site_occupancy
Pa1 0.0000 0.0000 0.0000 1
Al1 0.2500 0.2500 0.2500 1
Ag1 0.2500 0.2500 0.7500 1
# * relative energy among the computed polymorphs: 500.3 meV per atom


# GGA-PBE PaAlAg, optimized geometry
data_PaAlAg
_cell_length_a 6.6172
_cell_length_b 6.6172
_cell_length_c 6.6172
_cell_angle_alpha 90.00
_cell_angle_beta 90.00
_cell_angle_gamma 90.00
_symmetry_space_group_name_H-M 'F -4 3 m'
_symmetry_Int_Tables_number 216
_symmetry_space_group_name_Hall 'F -4 2 3'
loop_
_atom_site_label
_atom_site_fract_x
_atom_site_fract_y
_atom_site_fract_z
_atom_site_occupancy
Pa1 0.0000 0.0000 0.0000 1
Al1 0.0000 0.0000 0.5000 1
Ag1 0.2500 0.2500 0.7500 1
# * relative energy among the computed polymorphs: 0.0 meV per atom